Record 1
First-principles (GGA-PBE) data for Co2SbAs after structural relaxation, as listed in Alexandria via LeMat-Bulk.

- ρ: 8.20 g/cm3
- E_form (uncorrected): 0.036 eV per atom
- Total magnetic moment: 0.000 μB/atom

Geometry as CIF:
```
data_Co2SbAs
_chemical_formula_sum 'Co4 Sb2 As2'
_cell_length_a 6.410
_cell_length_b 3.702
_cell_length_c 5.786
_cell_angle_alpha 90.00
_cell_angle_beta 111.96
_cell_angle_gamma 90.00
_space_group_name_H-M_alt 'C 1 2/m 1'
_space_group_IT_number 12
loop_
_space_group_symop_operation_xyz
'x,y,z'
'-x,-y,-z'
'-x,y,-z'
'x,-y,z'
'x+1/2,y+1/2,z'
'-x+1/2,-y+1/2,-z'
'-x+1/2,y+1/2,-z'
'x+1/2,-y+1/2,z'
loop_
_atom_site_label
_atom_site_type_symbol
_atom_site_fract_x
_atom_site_fract_y
_atom_site_fract_z
Co1 Co 0.221 0.000 0.162
Sb1 Sb 0.000 0.000 0.500
As1 As 0.000 0.500 0.000
```

---

Record 2
First-principles (GGA-PBE) data for CoSbAs after structural relaxation, as listed in Alexandria via LeMat-Bulk.

- ρ: 7.47 g/cm3
- E_form (uncorrected): 0.037 eV per atom
- Total magnetic moment: 0.122 μB/atom

Geometry as CIF:
```
data_CoSbAs
_chemical_formula_sum 'Co2 Sb2 As2'
_cell_length_a 3.027
_cell_length_b 3.027
_cell_length_c 12.401
_cell_angle_alpha 90.00
_cell_angle_beta 90.00
_cell_angle_gamma 90.00
_space_group_name_H-M_alt 'I 4 m m'
_space_group_IT_number 107
_space_group_name_Hall 'I 4 -2'
loop_
_atom_site_label
_atom_site_type_symbol
_atom_site_fract_x
_atom_site_fract_y
_atom_site_fract_z
Co1 Co 0.000 0.000 0.000
Sb1 Sb 0.000 0.000 0.644
As1 As 0.000 0.000 0.395
```

---

Record 3
First-principles (GGA-PBE) data for CoSb2As2 after structural relaxation, as listed in Alexandria via LeMat-Bulk.

- ρ: 6.86 g/cm3
- E_form (uncorrected): 0.103 eV per atom
- Total magnetic moment: 0.146 μB/atom

Geometry as CIF:
```
data_CoSb2As2
_chemical_formula_sum 'Co2 Sb4 As4'
_cell_length_a 6.089
_cell_length_b 6.089
_cell_length_c 5.908
_cell_angle_alpha 90.00
_cell_angle_beta 90.00
_cell_angle_gamma 90.00
_space_group_name_H-M_alt 'P 4/m b m'
_space_group_IT_number 127
_space_group_name_Hall '-P 4 2ab'
loop_
_atom_site_label
_atom_site_type_symbol
_atom_site_fract_x
_atom_site_fract_y
_atom_site_fract_z
Co1 Co 0.000 0.000 0.000
Sb1 Sb 0.189 0.311 0.500
As1 As 0.148 0.352 0.000
```

---

Record 4
First-principles (GGA-PBE) data for Co2SbAs after structural relaxation, as listed in Alexandria via LeMat-Bulk.

- ρ: 8.68 g/cm3
- E_form (uncorrected): 0.296 eV per atom
- Total magnetic moment: 0.166 μB/atom

Geometry as CIF:
```
data_Co2SbAs
_chemical_formula_sum 'Co4 Sb2 As2'
_cell_length_a 3.631
_cell_length_b 3.631
_cell_length_c 9.123
_cell_angle_alpha 90.00
_cell_angle_beta 90.00
_cell_angle_gamma 90.00
_space_group_name_H-M_alt 'I -4 m 2'
_space_group_IT_number 119
_space_group_name_Hall 'I -4 -2'
loop_
_atom_site_label
_atom_site_type_symbol
_atom_site_fract_x
_atom_site_fract_y
_atom_site_fract_z
Co1 Co 0.000 0.000 0.000
Co2 Co 0.000 0.500 0.250
Sb1 Sb 0.000 0.500 0.750
As1 As 0.000 0.000 0.500
```

---

Record 5
First-principles (GGA-PBE) data for Co2SbAs after structural relaxation, as listed in Alexandria via LeMat-Bulk.

- ρ: 8.47 g/cm3
- E_form (uncorrected): 0.163 eV per atom
- Total magnetic moment: 0.330 μB/atom

Geometry as CIF:
```
data_Co2SbAs
_chemical_formula_sum 'Co6 Sb3 As3'
_cell_length_a 3.1584
_cell_length_b 3.1584
_cell_length_c 21.4243
_cell_angle_alpha 90.00
_cell_angle_beta 90.00
_cell_angle_gamma 120.00
_space_group_name_H-M_alt 'R -3 m'
_space_group_IT_number 166
_space_group_name_Hall '-R 3 2"'
loop_
_atom_site_label
_atom_site_type_symbol
_atom_site_fract_x
_atom_site_fract_y
_atom_site_fract_z
Co1 Co 0.0000 0.0000 0.2421
Sb1 Sb 0.0000 0.0000 0.0000
As1 As 0.0000 0.0000 0.5000
```

---

Record 6
First-principles (GGA-PBE) data for Co2SbAs after structural relaxation, as listed in Alexandria via LeMat-Bulk.

- ρ: 8.38 g/cm3
- E_form (uncorrected): 0.109 eV per atom
- Total magnetic moment: 0.204 μB/atom

Geometry as CIF:
```
data_Co2SbAs
_chemical_formula_sum 'Co2 Sb1 As1'
_cell_length_a 3.002
_cell_length_b 3.009
_cell_length_c 6.902
_cell_angle_alpha 90.00
_cell_angle_beta 90.00
_cell_angle_gamma 90.00
_space_group_name_H-M_alt 'P m m m'
_space_group_IT_number 47
loop_
_space_group_symop_operation_xyz
'x,y,z'
'-x,-y,-z'
'-x,-y,z'
'x,y,-z'
'x,-y,-z'
'-x,y,z'
'-x,y,-z'
'x,-y,z'
loop_
_atom_site_label
_atom_site_type_symbol
_atom_site_fract_x
_atom_site_fract_y
_atom_site_fract_z
Co1 Co 0.000 0.000 0.182
Sb1 Sb 0.000 0.500 0.500
As1 As 0.500 0.500 0.000
```

---

Look up the ρ of the sixth one. 8.38 g/cm3